No. 1
This record from Alexandria via LeMat-Bulk describes KBaPBr2 after structural relaxation. The functional is PBE.

Final energy (eV/atom): -2.962

Cell: 6.0718 15.7391 6.0718 Å, 90.00 90.00 90.00°
Last column: magnetic moment on the atom in μB.
Positions (direct):
P 0.5000 0.5000 0.5000  0.77
Br 0.5000 0.0000 0.0000  0.00
Br 0.0000 0.0000 0.5000  0.00
Ba 0.0000 0.0000 0.0000  0.00
K 0.0000 0.5000 0.0000  0.00


No. 2
This record from Alexandria via LeMat-Bulk describes K2BaPbBr6 after structural relaxation. The functional is PBE.

Final energy (eV/atom): -3.409

Cell: 8.0302 8.5440 11.6443 Å, 90.00 90.84 90.00°
Positions (direct):
Br 0.6405 0.0602 0.2592
K 0.5311 0.5806 0.7481
Br 0.6956 0.3119 0.9271
Pb 0.5000 0.0000 0.5000
Ba 0.0000 0.5000 0.5000
K 0.4689 0.4194 0.2519
Br 0.3044 0.6881 0.0729
Pb 0.0000 0.5000 0.0000
K 0.9689 0.0806 0.7519
Br 0.1956 0.1881 0.4271
Br 0.8202 0.7996 0.9254
Br 0.3595 0.9398 0.7408
Br 0.6798 0.2996 0.5746
Br 0.8044 0.8119 0.5729
Br 0.3202 0.7004 0.4254
Ba 0.5000 0.0000 0.0000
Br 0.1405 0.4398 0.7592
Br 0.8595 0.5602 0.2408
K 0.0311 0.9194 0.2481
Br 0.1798 0.2004 0.0746


No. 3
This record from Alexandria via LeMat-Bulk describes KBa2PmBr8 after structural relaxation. The functional is PBE.

Final energy (eV/atom): -3.911

Cell: 7.3485 7.1361 9.8686 Å, 90.00 90.00 90.38°
Positions (direct):
Br 0.1499 0.7747 0.7851
K 0.0000 0.0000 0.5000
Br 0.6762 0.7565 0.0000
Ba 0.5000 0.5000 0.2487
Br 0.3664 0.2536 0.5000
Br 0.6336 0.7464 0.5000
Pm 0.0000 0.0000 0.0000
Br 0.8501 0.2253 0.7851
Ba 0.5000 0.5000 0.7513
Br 0.3238 0.2435 0.0000
Br 0.1499 0.7747 0.2149
Br 0.8501 0.2253 0.2149


No. 4
This record from Alexandria via LeMat-Bulk describes KBaPuBr6 after structural relaxation. The functional is PBE.

Final energy (eV/atom): -4.821

Cell: 7.3224 7.3224 14.4354 Å, 90.00 90.00 90.00°
Last column: magnetic moment on the atom in μB.
Positions (direct):
Br 0.7796 0.2204 0.8368  -0.02
K 0.0000 0.0000 0.6669  0.00
Pu 0.0000 0.0000 0.3331  5.06
Pu 0.5000 0.5000 0.8331  5.06
Br 0.3167 0.3167 0.6820  -0.02
Br 0.8122 0.1878 0.4818  -0.02
Br 0.6833 0.6833 0.6820  -0.02
Br 0.7204 0.7204 0.3368  -0.02
K 0.5000 0.5000 0.1669  0.00
Br 0.8167 0.1833 0.1820  -0.02
Br 0.2204 0.7796 0.8368  -0.02
Br 0.3122 0.3122 0.9818  -0.02
Ba 0.5000 0.5000 0.4991  0.00
Ba 0.0000 0.0000 0.9991  0.00
Br 0.1878 0.8122 0.4818  -0.02
Br 0.2796 0.2796 0.3368  -0.02
Br 0.6878 0.6878 0.9818  -0.02
Br 0.1833 0.8167 0.1820  -0.02


No. 5
This record from Alexandria via LeMat-Bulk describes K2BaPuBr8 after structural relaxation. The functional is PBE.

Final energy (eV/atom): -4.296

Cell: 7.1546 7.5740 9.5954 Å, 90.00 90.00 92.95°
Last column: magnetic moment on the atom in μB.
Positions (direct):
Ba 0.0000 0.0000 0.5000  0.00
K 0.5000 0.5001 0.2512  0.00
Pu 0.0000 0.0000 0.0000  4.47
Br 0.3540 0.2559 0.5000  -0.01
K 0.5000 0.4999 0.7488  0.00
Br 0.8591 0.2100 0.2099  -0.07
Br 0.1409 0.7900 0.7901  -0.07
Br 0.3224 0.2127 0.0000  -0.09
Br 0.6460 0.7441 0.5000  -0.01
Br 0.8592 0.2100 0.7901  -0.07
Br 0.1408 0.7900 0.2099  -0.07
Br 0.6776 0.7873 0.0000  -0.09


No. 6
This record from Alexandria via LeMat-Bulk describes K2BaPuBr6 after structural relaxation. The functional is PBE.

Final energy (eV/atom): -4.597

Cell: 8.0061 8.5228 11.5966 Å, 90.00 90.79 90.00°
Last column: magnetic moment on the atom in μB.
Positions (direct):
Br 0.6782 0.2972 0.5726  -0.01
K 0.0308 0.9204 0.2477  0.00
Br 0.8618 0.5588 0.2387  -0.01
K 0.5308 0.5796 0.7477  0.00
Br 0.8218 0.7972 0.9274  -0.01
Pu 0.0000 0.5000 0.0000  5.80
Br 0.6382 0.0588 0.2613  -0.01
Br 0.1993 0.1878 0.4281  -0.01
Br 0.6993 0.3122 0.9281  -0.01
Br 0.3618 0.9412 0.7387  -0.01
K 0.4692 0.4204 0.2523  0.00
Br 0.1382 0.4412 0.7613  -0.01
Br 0.3007 0.6878 0.0719  -0.01
Ba 0.0000 0.5000 0.5000  0.02
Br 0.1782 0.2028 0.0726  -0.01
Br 0.3218 0.7028 0.4274  -0.01
Ba 0.5000 0.0000 0.0000  0.02
Pu 0.5000 0.0000 0.5000  5.80
Br 0.8007 0.8122 0.5719  -0.01
K 0.9692 0.0796 0.7523  0.00


No. 7
This record from Alexandria via LeMat-Bulk describes K3Rb2BaBr6 after structural relaxation. The functional is PBE.

Final energy (eV/atom): -3.116

Cell: 4.7089 10.0419 10.8977 Å, 103.21 102.48 90.00°
Last column: magnetic moment on the atom in μB.
Positions (direct):
Br 0.3362 0.4079 0.6724  0.00
Ba 0.5000 0.0000 0.0000  0.12
Br 0.0024 0.7508 0.0049  0.01
Br 0.9976 0.2492 0.9951  0.01
K 0.8322 0.1697 0.6645  0.00
Br 0.6607 0.0710 0.3215  0.00
Br 0.6638 0.5921 0.3276  0.00
K 0.5000 0.5000 0.0000  0.00
Br 0.3393 0.9290 0.6785  0.00
K 0.1678 0.8303 0.3355  0.00
Rb 0.8321 0.6620 0.6642  0.00
Rb 0.1679 0.3380 0.3358  0.00


No. 8
This record from Alexandria via LeMat-Bulk describes KRb2BaBr4 after structural relaxation. The functional is PBE.

Final energy (eV/atom): -3.109

Cell: 4.6740 8.6994 8.6352 Å, 72.96 90.00 90.00°
Last column: magnetic moment on the atom in μB.
Positions (direct):
Rb 0.0000 0.0000 0.0000  0.00
Ba 0.0000 0.5000 0.5000  0.13
Br 0.0000 0.2707 0.2523  0.00
K 0.5000 0.5000 0.0000  0.00
Rb 0.5000 0.0000 0.5000  0.00
Br 0.5000 0.2594 0.7489  0.00
Br 0.0000 0.7293 0.7477  0.00
Br 0.5000 0.7406 0.2511  0.00


- The highest final energy belongs to which entry?
  KBaPBr2


- Which value of final energy does entry 7 give?
  -3.116 eV/atom


Repeat the second record exactly.
This record from Alexandria via LeMat-Bulk describes K2BaPbBr6 after structural relaxation. The functional is PBE.

Final energy (eV/atom): -3.409

Cell: 8.0302 8.5440 11.6443 Å, 90.00 90.84 90.00°
Positions (direct):
Br 0.6405 0.0602 0.2592
K 0.5311 0.5806 0.7481
Br 0.6956 0.3119 0.9271
Pb 0.5000 0.0000 0.5000
Ba 0.0000 0.5000 0.5000
K 0.4689 0.4194 0.2519
Br 0.3044 0.6881 0.0729
Pb 0.0000 0.5000 0.0000
K 0.9689 0.0806 0.7519
Br 0.1956 0.1881 0.4271
Br 0.8202 0.7996 0.9254
Br 0.3595 0.9398 0.7408
Br 0.6798 0.2996 0.5746
Br 0.8044 0.8119 0.5729
Br 0.3202 0.7004 0.4254
Ba 0.5000 0.0000 0.0000
Br 0.1405 0.4398 0.7592
Br 0.8595 0.5602 0.2408
K 0.0311 0.9194 0.2481
Br 0.1798 0.2004 0.0746


- Among the records above, which one has the highest final energy?
  KBaPBr2